# 1
## Cs2YRe3O12 (PBE-GGA)

Data for a geometry-optimized Cs2YRe3O12 structure.

Properties
As for the formation energy from raw total energies: -1.95 eV per atom. Its space group is R-3m (166).

Cell: 7.669 7.669 7.669 Å, 57.79 57.79 57.79°
Element x y z (fractional)
Cs1 0.116 0.116 0.116
Cs2 0.884 0.884 0.884
Y1 0.500 0.500 0.500
Re1 0.000 0.500 0.500
Re2 0.500 0.000 0.500
Re3 0.500 0.500 0.000
O1 0.148 0.569 0.569
O2 0.196 0.196 0.569
O3 0.196 0.569 0.196
O4 0.431 0.431 0.852
O5 0.431 0.804 0.804
O6 0.431 0.852 0.431
O7 0.569 0.148 0.569
O8 0.569 0.196 0.196
O9 0.569 0.569 0.148
O10 0.804 0.431 0.804
O11 0.804 0.804 0.431
O12 0.852 0.431 0.431



# 2
## CsY2ReO8 (PBE-GGA)

Data for a geometry-optimized CsY2ReO8 structure.

Properties
As for the formation energy from raw total energies: -2.19 eV per atom. Its space group is C2/m (12).

Cell: 4.972 4.972 7.827 Å, 90.55 90.55 90.72°
Element x y z (fractional)
Cs1 0.000 0.000 0.000
Y1 0.497 0.497 0.715
Y2 0.503 0.503 0.285
Re1 0.000 0.000 0.500
O1 0.180 0.808 0.329
O2 0.192 0.820 0.671
O3 0.280 0.280 0.496
O4 0.392 0.392 0.999
O5 0.608 0.608 0.001
O6 0.720 0.720 0.504
O7 0.808 0.180 0.329
O8 0.820 0.192 0.671



# 3
## Cs2YReO6 (PBE-GGA)

Data for a geometry-optimized Cs2YReO6 structure.

Properties
As for the formation energy from raw total energies: -2.05 eV per atom. Its space group is P-3m1 (164).

Cell: 6.720 6.720 5.799 Å, 90.00 90.00 120.00°
Element x y z (fractional)
Cs1 0.333 0.667 0.361
Cs2 0.667 0.333 0.639
Y1 0.000 0.000 0.000
Re1 0.000 0.000 0.500
O1 0.130 0.260 0.702
O2 0.130 0.870 0.702
O3 0.260 0.130 0.298
O4 0.740 0.870 0.702
O5 0.870 0.130 0.298
O6 0.870 0.740 0.298